## Mg2In4Hg (GGA-PBE)

Data for Mg2In4Hg after structural relaxation.

Cell: 8.3870 8.3870 8.3870 Å, 137.23 100.57 94.73°
Last column: nearest neighbours and their distance in Å.
Fractional positions:
Mg 0.0000 0.0000 0.0000  4 In 3.10
Mg 0.4920 0.2420 0.2500  6 In 3.01-3.14, 2 Mg 3.06
Mg 0.5000 0.0000 0.5000  4 In 3.10
Mg 0.5080 0.7580 0.7500  6 In 3.01-3.14, 2 Mg 3.06
In 0.1359 0.6477 0.4882  1 Mg 3.07, 2 Hg 3.19, 1 In 3.37
In 0.2653 0.2698 0.5046  2 In 3.00-3.11, 4 Mg 3.01-3.14, 1 Hg 3.01
In 0.2653 0.7607 0.9954  2 In 3.00-3.11, 4 Mg 3.01-3.14, 1 Hg 3.01
In 0.3405 0.3523 0.9882  1 Mg 3.07, 2 Hg 3.19, 1 In 3.37
In 0.6595 0.6477 0.0118  1 Mg 3.07, 2 Hg 3.19, 1 In 3.37
In 0.7347 0.2393 0.0046  2 In 3.00-3.11, 4 Mg 3.01-3.14, 1 Hg 3.01
In 0.7347 0.7302 0.4954  2 In 3.00-3.11, 4 Mg 3.01-3.14, 1 Hg 3.01
In 0.8641 0.3523 0.5118  1 Mg 3.07, 2 Hg 3.19, 1 In 3.37
Hg 0.0000 0.0000 0.5000  6 In 3.01-3.19, 2 Hg 3.06
Hg 0.0000 0.5000 0.0000  6 In 3.01-3.19, 2 Hg 3.06

## Properties
Energy relative to the elements (eV per atom): 0.048
Spin magnetization (μB/atom): 0.0000
Crystal system: orthorhombic
ΔE to the lowest computed polymorph (meV per atom): 69.1
Space group: No. 74
D(E_F) (states/eV/cell): 6.67

## CrTcAg2 (GGA-PBE)

Data for CrTcAg2 after structural relaxation.

Cell: 2.7337 2.7337 9.1833 Å, 90.00 90.00 113.04°
Last column: nearest neighbours and their distance in Å.
Fractional positions:
Cr 0.0000 0.0000 0.0000  2 Tc 2.36
Tc 0.5000 0.5000 0.1982  2 Cr 2.36
Ag 0.0000 0.0000 0.4708  8 Ag 2.73-3.02, 2 Tc 2.92
Ag 0.5000 0.5000 0.7431  8 Ag 2.73-3.02, 2 Cr 2.80

## Properties
Energy relative to the elements (eV per atom): 0.340
Spin magnetization (μB/atom): 0.0000
Crystal system: orthorhombic
ΔE to the lowest computed polymorph (meV per atom): 16.8
Space group: No. 35
D(E_F) (states/eV/cell): 3.31

## FeSn2PtBr (GGA-PBE)

Data for FeSn2PtBr after structural relaxation.

Cell: 5.1856 5.1856 5.0287 Å, 90.00 90.00 90.00°
Last column: nearest neighbours and their distance in Å.
Fractional positions:
Fe 0.0000 0.0000 0.0000  2 Pt 2.51
Sn 0.0000 0.5000 0.5000  2 Pt 2.59
Sn 0.5000 0.0000 0.5000  2 Pt 2.59
Pt 0.0000 0.0000 0.5000  2 Fe 2.51, 4 Sn 2.59
Br 0.5000 0.5000 0.0000  8 Sn 3.61, 4 Fe 3.67

## Properties
Spin magnetization (μB/atom): 0.7029
Crystal system: tetragonal
ΔE to the lowest computed polymorph (meV per atom): 0.0
Space group: No. 123
D(E_F) (states/eV/cell): 4.39

## Tb2Cu2Au (GGA-PBE)

Data for Tb2Cu2Au after structural relaxation.

Cell: 7.3479 7.3479 3.7714 Å, 90.00 90.00 90.00°
Last column: nearest neighbours and their distance in Å.
Fractional positions:
Tb 0.1801 0.3199 0.0000  6 Cu 2.82-2.93
Tb 0.3199 0.8199 0.0000  6 Cu 2.82-2.93
Tb 0.6801 0.1801 0.0000  6 Cu 2.82-2.93
Tb 0.8199 0.6801 0.0000  6 Cu 2.82-2.93
Cu 0.1183 0.6183 0.5000  1 Cu 2.46
Cu 0.3817 0.1183 0.5000  1 Cu 2.46
Cu 0.6183 0.8817 0.5000  1 Cu 2.46
Cu 0.8817 0.3817 0.5000  1 Cu 2.46
Au 0.0000 0.0000 0.5000  4 Cu 2.94
Au 0.5000 0.5000 0.5000  4 Cu 2.94

## Properties
Energy relative to the elements (eV per atom): -0.442
Spin magnetization (μB/atom): 0.0000
Crystal system: tetragonal
ΔE to the lowest computed polymorph (meV per atom): 0.0
Space group: No. 127
D(E_F) (states/eV/cell): 7.29

## Sr6CdCu2 (GGA-PBE)

Data for Sr6CdCu2 after structural relaxation.

Cell: 9.5789 9.5789 9.5789 Å, 112.76 110.68 105.06°
Last column: nearest neighbours and their distance in Å.
Fractional positions:
Sr 0.0364 0.2330 0.8034  1 Cu 3.37, 1 Cd 3.46
Sr 0.1825 0.2874 0.4700  2 Cu 3.26, 1 Cd 3.64
Sr 0.1825 0.7126 0.8951  2 Cu 3.26, 1 Cd 3.64
Sr 0.3245 0.0194 0.6948  3 Cu 3.19-3.26
Sr 0.3245 0.6297 0.3052  3 Cu 3.19-3.26
Sr 0.4296 0.2330 0.1966  1 Cu 3.37, 1 Cd 3.46
Sr 0.5704 0.7670 0.8034  1 Cu 3.37, 1 Cd 3.46
Sr 0.6755 0.3703 0.6948  3 Cu 3.19-3.26
Sr 0.6755 0.9806 0.3052  3 Cu 3.19-3.26
Sr 0.8175 0.2874 0.1049  2 Cu 3.26, 1 Cd 3.64
Sr 0.8175 0.7126 0.5300  2 Cu 3.26, 1 Cd 3.64
Sr 0.9636 0.7670 0.1966  1 Cu 3.37, 1 Cd 3.46
Cd 0.0000 0.0000 0.0000  8 Sr 3.46-3.64
Cd 0.5000 0.5000 0.0000  12 Sr 3.78-4.13
Cu 0.1082 0.6082 0.5000  1 Cu 2.52
Cu 0.3798 0.0000 0.3798  1 Cu 2.62
Cu 0.6202 0.0000 0.6202  1 Cu 2.62
Cu 0.8918 0.3918 0.5000  1 Cu 2.52

## Properties
Energy relative to the elements (eV per atom): -0.093
Spin magnetization (μB/atom): 0.0013
Crystal system: orthorhombic
Space group: No. 71
D(E_F) (states/eV/cell): 18.19

## Pa2Al4PdAu3 (GGA-PBE)

Data for Pa2Al4PdAu3 after structural relaxation.

Cell: 4.3157 4.3157 10.3840 Å, 90.00 90.00 90.00°
Last column: nearest neighbours and their distance in Å.
Fractional positions:
Pa 0.0000 0.5000 0.2442  8 Al 3.28-3.42, 6 Au 3.30-3.33, 2 Pd 3.33
Pa 0.5000 0.0000 0.7558  8 Al 3.28-3.42, 6 Au 3.30-3.33, 2 Pd 3.33
Al 0.0000 0.0000 0.5000  4 Au 2.57
Al 0.0000 0.5000 0.8721  3 Au 2.46-2.53, 2 Pd 2.53
Al 0.5000 0.0000 0.1279  3 Au 2.46-2.53, 2 Pd 2.53
Al 0.5000 0.5000 0.5000  4 Au 2.57
Pd 0.5000 0.5000 0.0000  4 Al 2.53
Au 0.0000 0.0000 0.0000  4 Al 2.53
Au 0.0000 0.5000 0.6351  5 Al 2.46-2.57
Au 0.5000 0.0000 0.3649  5 Al 2.46-2.57

## Properties
Energy relative to the elements (eV per atom): -0.529
Spin magnetization (μB/atom): 0.0000
Crystal system: tetragonal
Space group: No. 115
D(E_F) (states/eV/cell): 5.39

Q: Which value of D(E_F) does entry 5 give?
A: 18.19 states/eV/cell

Q: The lowest D(E_F) belongs to which entry?
A: CrTcAg2

Q: Among the records above, which one has the highest spin magnetization?
A: FeSn2PtBr